Entry a
Compound: Hf4W
Source: Alexandria via LeMat-Bulk
Functional: PBE
Structure: optimized geometry

Summary:
spin magnetization = 0.00 μB per formula unit
space-group type = Pm-3m (221)
crystal system = cubic

Unit cell a=5.022 b=5.022 c=5.022 alpha=90.00 beta=90.00 gamma=90.00
Positions (direct):
Hf: 0.000 0.500 0.500
Hf: 0.500 0.000 0.500
Hf: 0.000 0.000 0.000
Hf: 0.500 0.500 0.000
W: 0.500 0.500 0.500

Entry b
Compound: Hf4W
Source: Alexandria via LeMat-Bulk
Functional: PBE
Structure: optimized geometry

Summary:
spin magnetization = 0.00 μB per formula unit
space-group type = Fd-3m (227)
crystal system = cubic

Unit cell a=7.036 b=7.036 c=7.036 alpha=60.00 beta=60.00 gamma=60.00
Positions (direct):
Hf: 0.145 0.565 0.145
Hf: 0.605 0.185 0.605
Hf: 0.145 0.145 0.145
Hf: 0.605 0.605 0.605
Hf: 0.605 0.605 0.185
W: 0.750 0.750 0.750
Hf: 0.145 0.145 0.565
W: 0.000 0.000 0.000
Hf: 0.185 0.605 0.605
Hf: 0.565 0.145 0.145

What should be chosen as the most stable of them? Choose entry a.